1.
# MgIn2Mo

A relaxed structure of MgIn2Mo (GGA-PBEsol, Alexandria).

Unit cell a=2.9493 b=5.0968 c=5.4588 alpha=97.81 beta=90.00 gamma=106.82
Last column: nearest neighbours and their distance in Å.
Fractional positions:
In  0.7421  0.4842  0.7366  3 Mo 2.93-2.99, 3 Mg 2.93-3.09, 6 In 2.95-3.22
In  0.2579  0.5158  0.2634  3 Mo 2.93-2.99, 3 Mg 2.93-3.09, 6 In 2.95-3.22
Mg  0.5000  0.0000  0.0000  6 In 2.93-3.09, 2 Mg 2.95, 4 Mo 3.10
Mo  0.0000  0.0000  0.5000  6 In 2.93-2.99, 2 Mo 2.95, 4 Mg 3.10

Calculated values
- V (Å³/f.u.) = 78
- calculated density (g/cm³) = 7.47
- total magnetization (μB per cell) = 0.0
- energy of formation (eV per formula unit) = 1.1

---

2.
# MgNbIn2Mo

A relaxed structure of MgNbIn2Mo (GGA-PBEsol, Alexandria).

Unit cell a=4.9248 b=5.0777 c=5.0777 alpha=90.00 beta=90.00 gamma=90.00
Last column: nearest neighbours and their distance in Å.
Fractional positions:
Mg  0.5000  0.0000  0.0000  2 Mo 2.46
In  0.0000  0.0000  0.5000  2 Mo 2.54
In  0.0000  0.5000  0.0000  2 Mo 2.54
Nb  0.5000  0.5000  0.5000  8 In 3.54, 4 Mg 3.59
Mo  0.0000  0.0000  0.0000  2 Mg 2.46, 4 In 2.54

Calculated values
- V (Å³/f.u.) = 127
- calculated density (g/cm³) = 5.79
- total magnetization (μB per cell) = 2.3
- energy of formation (eV per formula unit) = 6.7